# 1
CrIn2O6 | PBE with a Hubbard U | relaxed

Cell: 4.8067 4.8067 9.6510 Å, 90.00 90.00 90.00°
Last column: magnetic moment on the atom in μB.
Fractional positions:
O 0.7761 0.2239 0.5000  0.29
O 0.2761 0.2761 0.0000  0.29
O 0.3145 0.3145 0.6477  0.22
O 0.8145 0.1855 0.1477  0.22
O 0.2239 0.7761 0.5000  0.29
O 0.3145 0.3145 0.3523  0.22
O 0.8145 0.1855 0.8523  0.22
O 0.6855 0.6855 0.6477  0.22
O 0.6855 0.6855 0.3523  0.22
O 0.1855 0.8145 0.8523  0.22
O 0.1855 0.8145 0.1477  0.22
O 0.7239 0.7239 0.0000  0.29
In 0.5000 0.5000 0.8326  -0.03
In 0.5000 0.5000 0.1674  -0.03
In 0.0000 0.0000 0.6674  -0.03
In 0.0000 0.0000 0.3326  -0.03
Cr 0.0000 0.0000 0.0000  -1.64
Cr 0.5000 0.5000 0.5000  -1.64

Summary:
DOS(E_F)   8.90 states/eV per cell
Energy   -0.43536 Ry/atom
Space group   P4_2/mnm, No. 136
Total magnetization   0.001 μB per atom

# 2
Cr3InO8 | PBE with a Hubbard U | relaxed

Cell: 5.1482 5.1482 6.5390 Å, 89.47 89.47 66.49°
Last column: magnetic moment on the atom in μB.
Fractional positions:
O 0.7735 0.7735 0.4555  -0.05
O 0.2265 0.2265 0.5445  -0.05
O 0.2111 0.7334 0.7318  -0.07
O 0.7532 0.7532 0.0501  -0.01
O 0.7334 0.2111 0.7318  -0.07
O 0.7889 0.2666 0.2682  -0.07
O 0.2468 0.2468 0.9499  -0.01
O 0.2666 0.7889 0.2682  -0.07
Cr 0.6438 0.6438 0.2658  1.15
Cr 0.3562 0.3562 0.7342  1.15
Cr 0.0000 0.0000 0.5000  2.97
In 0.0000 0.0000 0.0000  0.03

Summary:
DOS(E_F)   0.20 states/eV per cell
Energy   -0.50150 Ry/atom
Space group   C2/m, No. 12
Total magnetization   0.417 μB per atom